Here is an optimized crystal structure of Mn3Nb8FeO24 from the Alexandria database. Energies are from GGA+U.

```
Mn3Nb8FeO24
1.0
-4.638 3.347 -1.405
-2.350 -1.434 4.339
6.009 11.290 7.055
Mn Nb Fe O
3 8 1 24
Cartesian
2.179 6.241 3.277
-3.114 2.247 -0.944
-1.990 7.685 4.539
1.321 7.826 6.428
4.196 10.079 5.683
-2.217 0.990 5.202
-0.612 4.159 4.072
-3.472 4.667 5.731
-3.990 3.844 2.133
0.063 11.487 6.962
0.802 9.756 3.745
-2.699 0.383 1.707
-0.697 2.226 4.436
-0.588 3.872 1.993
0.802 8.470 8.356
3.168 8.488 6.597
-1.454 10.269 7.728
0.777 10.045 5.824
-2.955 4.024 3.801
-2.976 5.425 1.214
3.361 9.561 9.187
1.302 7.843 4.477
-1.365 4.699 5.789
-0.638 0.970 1.923
-5.497 2.944 2.975
-1.114 6.082 3.338
-0.797 7.793 6.368
0.823 12.927 5.894
1.415 6.027 6.770
3.396 11.429 6.627
-3.263 0.971 3.698
1.150 4.619 4.292
-3.575 6.465 5.387
-3.194 2.456 1.226
1.155 11.512 8.441
-0.961 9.305 3.523
```

DOS(E_F) ... 0.000 states/eV per cell
E_tot ... -8.72 eV/atom
SG ... P2, No. 3
Size of the total moment ... 0.529 μB per atom